Sm3Mn5O12, optimized geometry, DFT PBE+U; crystal system = cubic; ρ = 5.9 g/cm3; magnetization = 20.0 μB/f.u.; calculated total energy = -623.72 eV per cell
1.0
-10.538 1.850 -2.573
1.118 -10.303 3.700
3.162 7.069 7.819
Sm Mn O
12 20 48
direct
0.750 0.375 0.125
0.875 0.750 0.125
0.375 0.750 0.625
0.250 0.125 0.375
0.875 0.125 0.250
0.375 0.625 0.250
0.625 0.375 0.750
0.125 0.875 0.750
0.750 0.875 0.625
0.625 0.250 0.375
0.125 0.250 0.875
0.250 0.625 0.875
0.125 0.375 0.250
0.000 0.500 0.000
0.000 0.000 0.000
0.375 0.250 0.125
0.500 0.000 0.500
0.500 0.500 0.000
0.125 0.750 0.375
0.750 0.125 0.875
0.750 0.625 0.375
0.375 0.125 0.750
0.625 0.875 0.250
0.500 0.500 0.500
0.500 0.000 0.000
0.000 0.000 0.500
0.250 0.375 0.625
0.250 0.875 0.125
0.000 0.500 0.500
0.875 0.250 0.625
0.625 0.750 0.875
0.875 0.625 0.750
0.700 0.122 0.029
0.330 0.529 0.407
0.971 0.378 0.300
0.529 0.200 0.122
0.577 0.700 0.670
0.971 0.593 0.170
0.330 0.800 0.423
0.093 0.923 0.122
0.593 0.971 0.670
0.700 0.577 0.170
0.800 0.471 0.378
0.830 0.907 0.029
0.122 0.700 0.529
0.378 0.407 0.077
0.077 0.907 0.378
0.423 0.122 0.593
0.077 0.170 0.200
0.471 0.670 0.093
0.830 0.923 0.300
0.122 0.423 0.093
0.378 0.971 0.800
0.593 0.622 0.423
0.907 0.830 0.529
0.800 0.330 0.923
0.407 0.378 0.577
0.093 0.170 0.471
0.200 0.670 0.077
0.170 0.077 0.700
0.622 0.029 0.200
0.878 0.577 0.907
0.529 0.330 0.907
0.577 0.878 0.407
0.923 0.830 0.800
0.923 0.093 0.622
0.878 0.300 0.471
0.170 0.093 0.971
0.622 0.593 0.923
0.407 0.029 0.330
0.300 0.423 0.830
0.200 0.529 0.622
0.907 0.077 0.878
0.670 0.200 0.577
0.471 0.800 0.878
0.029 0.407 0.830
0.423 0.300 0.330
0.029 0.622 0.700
0.670 0.471 0.593
0.300 0.878 0.971